! BaCoSiO4 | the Alexandria database | PBE with a Hubbard U | optimized geometry; values from VASP
&SYSTEM
  ibrav = 0, nat = 42, ntyp = 4
/
ATOMIC_SPECIES
Ba 137.33 Ba.upf
Co 58.93 Co.upf
Si 28.09 Si.upf
O 16.00 O.upf
CELL_PARAMETERS angstrom
-6.857 -5.544 -2.788
7.005 1.927 -5.723
4.404 -6.977 3.041
ATOMIC_POSITIONS crystal
Ba 0.000 0.000 0.250
Ba 0.000 0.000 0.750
Ba 0.667 0.333 0.274
Ba 0.333 0.667 0.774
Ba 0.333 0.667 0.281
Ba 0.667 0.333 0.781
Co 0.317 0.987 0.967
Co 0.013 0.330 0.967
Co 0.670 0.683 0.967
Co 0.683 0.013 0.467
Co 0.987 0.670 0.467
Co 0.330 0.317 0.467
Si 0.340 0.327 0.070
Si 0.673 0.013 0.070
Si 0.987 0.660 0.070
Si 0.660 0.673 0.570
Si 0.327 0.987 0.570
Si 0.013 0.340 0.570
O 0.237 0.149 0.978
O 0.851 0.088 0.978
O 0.912 0.763 0.978
O 0.763 0.851 0.478
O 0.149 0.912 0.478
O 0.088 0.237 0.478
O 0.535 0.441 0.011
O 0.559 0.095 0.011
O 0.905 0.465 0.011
O 0.465 0.559 0.511
O 0.441 0.905 0.511
O 0.095 0.535 0.511
O 0.239 0.431 0.057
O 0.569 0.808 0.057
O 0.192 0.761 0.057
O 0.761 0.569 0.557
O 0.431 0.192 0.557
O 0.808 0.239 0.557
O 0.277 0.928 0.749
O 0.072 0.348 0.749
O 0.652 0.723 0.749
O 0.723 0.072 0.249
O 0.928 0.652 0.249
O 0.348 0.277 0.249
! - Calculated volume: 15.51 A^3/atom
! - DOS(E_F): 0.000 states/eV/f.u.
! - Space group: P6_3 (173)
! - VASP energy: -295.40 eV per cell